Version i
Material: Co2HRu
Method: DFT, GGA-PBE
State: optimized geometry

Cell lengths 6.453, 6.453, 6.453 Å; angles 23.56, 23.56, 23.56 degrees
Sites, in units of the cell vectors:
Co: 0.000 0.000 0.000
Co: 0.220 0.220 0.220
H: 0.610 0.610 0.610
Ru: 0.443 0.443 0.443

Properties
- DOS(E_F): 0.93 states/eV/atom
- ρ: 9.68 Mg/m³

Version ii
Material: Co2HRu
Method: DFT, GGA-PBE
State: optimized geometry

Cell lengths 3.939, 3.939, 3.939 Å; angles 60.00, 60.00, 60.00 degrees
Sites, in units of the cell vectors:
Co: 0.250 0.250 0.250
Co: 0.750 0.750 0.750
H: 0.000 0.000 0.000
Ru: 0.500 0.500 0.500

Properties
- DOS(E_F): 0.72 states/eV/atom
- ρ: 8.45 Mg/m³

Q: Which of them is the least stable? A: version ii.

Version i
Material: Co2HRu
Method: DFT, GGA-PBE
State: optimized geometry

Cell lengths 4.707, 4.707, 4.707 Å; angles 104.65, 104.65, 119.60 degrees
Sites, in units of the cell vectors:
Co: 0.021 0.125 0.396
Co: 0.375 0.979 0.104
Co: 0.729 0.625 0.604
Co: 0.875 0.271 0.896
H: 0.000 0.000 0.000
H: 0.750 0.250 0.500
Ru: 0.250 0.750 0.500
Ru: 0.500 0.500 0.000

Properties
- DOS(E_F): 0.54 states/eV/atom
- ρ: 9.32 Mg/m³

Version ii
Material: Co2HRu
Method: DFT, GGA-PBE
State: optimized geometry

Cell lengths 6.480, 6.480, 6.480 Å; angles 23.41, 23.41, 23.41 degrees
Sites, in units of the cell vectors:
Co: 0.222 0.222 0.222
Co: 0.778 0.778 0.778
H: 0.500 0.500 0.500
Ru: 0.000 0.000 0.000

Properties
- DOS(E_F): 0.88 states/eV/atom
- ρ: 9.68 Mg/m³

Q: Which of them is the least stable? A: version i.